Record 1
First-principles (PBE-GGA) data for a relaxed structure of TbPm5Pr2Th, as listed in Alexandria.

Cell and atoms, written as POSCAR:
```
TbPm5Pr2Th
1.0
-1.4064 -0.9897 -5.4761
-0.6356 -9.5038 4.8889
-10.2154 1.8598 2.2874
Pm Th Tb Pr
10 2 2 4
Direct
0.3875 0.7751 0.0250 Pm
0.6125 0.2249 0.5250 Pm
0.7048 0.4097 0.2045 Pm
0.0157 0.0314 0.0196 Pm
0.9843 0.9686 0.5196 Pm
0.4809 0.9618 0.7430 Pm
0.5191 0.0382 0.2430 Pm
0.7241 0.4482 0.8148 Pm
0.2759 0.5518 0.3148 Pm
0.2952 0.5903 0.7045 Pm
0.1992 0.3985 0.0120 Th
0.8008 0.6015 0.5120 Th
0.5935 0.1871 0.9566 Tb
0.4065 0.8129 0.4566 Tb
0.1156 0.2312 0.7312 Pr
0.1160 0.2320 0.3172 Pr
0.8840 0.7680 0.8172 Pr
0.8844 0.7688 0.2312 Pr
```

Output
As for the energy: -4.8923 eV/atom. The calculation puts the calculated density at 7.4 g/cm³. The space group is Cmc2_1, No. 36.

=====

Record 2
First-principles (PBE-GGA) data for a relaxed structure of Tb2PmPrTh, as listed in Alexandria.

Cell and atoms, written as POSCAR:
```
Tb2PmPrTh
1.0
-4.4369 -0.5317 -3.7970
1.3525 -6.1006 -0.7262
-4.9738 -5.1215 6.5292
Pr Tb Pm Th
2 4 2 2
Direct
0.2500 0.7769 0.2939 Pr
0.7500 0.2231 0.7061 Pr
0.7500 0.8358 0.4924 Tb
0.2500 0.1642 0.5076 Tb
0.2500 0.3570 0.0967 Tb
0.7500 0.6430 0.9033 Tb
0.7500 0.4283 0.2969 Pm
0.2500 0.5717 0.7031 Pm
0.7500 0.0370 0.0925 Th
0.2500 0.9630 0.9075 Th
```

Output
As for the energy: -5.1926 eV/atom. The calculation puts the calculated density at 8.2 g/cm³. The space group is P2_1/m, No. 11.

=====

Record 3
First-principles (PBE-GGA) data for a relaxed structure of TbPmPrTl, as listed in Alexandria.

Cell and atoms, written as POSCAR:
```
TbPmPrTl
1.0
-4.1053 1.2166 3.6073
-2.6654 -4.1173 2.7001
0.7973 -0.7194 5.4949
Tl Pm Tb Pr
1 1 1 1
Direct
0.0000 0.0000 0.0000 Tl
0.2500 0.2500 0.2500 Pm
0.5000 0.5000 0.5000 Tb
0.7500 0.7500 0.7500 Pr
```

Output
As for the energy: -4.1950 eV/atom. The calculation puts the calculated density at 8.7 g/cm³. The space group is F-43m, No. 216.

=====

Record 4
First-principles (PBE-GGA) data for a relaxed structure of TbPm2PrTl2, as listed in Alexandria.

Cell and atoms, written as POSCAR:
```
TbPm2PrTl2
1.0
-0.4364 -5.0178 1.4141
5.7463 -1.5048 -3.5663
5.6605 1.8572 8.3370
Pm Pr Tb Tl
4 2 2 4
Direct
0.5000 0.0538 0.0453 Pm
0.5000 0.5538 0.9547 Pm
0.0000 0.3310 0.1818 Pm
0.0000 0.8310 0.8182 Pm
0.0000 0.9595 0.4562 Pr
0.0000 0.4595 0.5438 Pr
0.5000 0.6822 0.3118 Tb
0.5000 0.1822 0.6882 Tb
0.0000 0.2968 0.8611 Tl
0.5000 0.2224 0.3670 Tl
0.0000 0.7968 0.1389 Tl
0.5000 0.7224 0.6330 Tl
```

Output
As for the energy: -4.2122 eV/atom. The calculation puts the calculated density at 8.9 g/cm³. The space group is Pmc2_1, No. 26.

=====

Record 5
First-principles (PBE-GGA) data for a relaxed structure of TbPm2PrTl4, as listed in Alexandria.

Cell and atoms, written as POSCAR:
```
TbPm2PrTl4
1.0
5.4785 0.0000 0.0000
2.7393 4.7445 0.0000
2.7393 1.5815 8.9633
Tl Pm Pr Tb
4 2 1 1
Direct
0.6235 0.6235 0.1295 Tl
0.8736 0.8736 0.3791 Tl
0.3765 0.3765 0.8705 Tl
0.1264 0.1264 0.6209 Tl
0.7505 0.7505 0.7485 Pm
0.2495 0.2495 0.2515 Pm
0.0000 0.0000 0.0000 Pr
0.5000 0.5000 0.5000 Tb
```

Output
As for the energy: -3.9228 eV/atom. The calculation puts the calculated density at 10.0 g/cm³. The space group is R-3m, No. 166.

=====

Record 6
First-principles (PBE-GGA) data for a relaxed structure of Tb6Pm3Pr2Tl, as listed in Alexandria.

Cell and atoms, written as POSCAR:
```
Tb6Pm3Pr2Tl
1.0
6.1814 -0.0027 0.0004
-3.0916 5.3528 0.0004
-1.0379 -1.7970 11.6898
Tb Tl Pm Pr
6 1 3 2
Direct
0.2445 0.2445 0.7507 Tb
0.7555 0.7555 0.2493 Tb
0.0821 0.4091 0.2481 Tb
0.5909 0.9179 0.7519 Tb
0.4091 0.0821 0.2481 Tb
0.9179 0.5909 0.7519 Tb
0.0000 0.0000 0.0000 Tl
0.5000 0.5000 0.5000 Pm
0.8325 0.1675 0.5000 Pm
0.1675 0.8325 0.5000 Pm
0.6664 0.3336 0.0000 Pr
0.3336 0.6664 0.0000 Pr
```

Output
As for the energy: -4.5286 eV/atom. The calculation puts the calculated density at 8.1 g/cm³. The space group is C2/m, No. 12.

=====

Record 7
First-principles (PBE-GGA) data for a relaxed structure of TbPmPr2Tl2, as listed in Alexandria.

Cell and atoms, written as POSCAR:
```
TbPmPr2Tl2
1.0
5.2349 0.0000 0.0000
0.0000 6.9567 0.0000
0.0000 0.0000 10.3005
Tl Pr Tb Pm
4 4 2 2
Direct
0.0000 0.2972 0.8557 Tl
0.5000 0.2200 0.3734 Tl
0.0000 0.7972 0.1443 Tl
0.5000 0.7200 0.6266 Tl
0.0000 0.3284 0.1838 Pr
0.5000 0.5580 0.9546 Pr
0.5000 0.0580 0.0454 Pr
0.0000 0.8284 0.8162 Pr
0.5000 0.6810 0.3146 Tb
0.5000 0.1810 0.6854 Tb
0.0000 0.9608 0.4565 Pm
0.0000 0.4608 0.5435 Pm
```

Output
As for the energy: -4.2176 eV/atom. The calculation puts the calculated density at 8.8 g/cm³. The space group is Pmc2_1, No. 26.

=====

Record 8
First-principles (PBE-GGA) data for a relaxed structure of Tb2PmPrTl2, as listed in Alexandria.

Cell and atoms, written as POSCAR:
```
Tb2PmPrTl2
1.0
5.1879 0.0000 0.0000
0.0000 6.8760 0.0000
0.0000 0.0000 10.2381
Tb Tl Pm Pr
4 4 2 2
Direct
0.5000 0.5530 0.9581 Tb
0.0000 0.8328 0.8178 Tb
0.0000 0.3328 0.1822 Tb
0.5000 0.0530 0.0419 Tb
0.5000 0.7180 0.6433 Tl
0.5000 0.2180 0.3567 Tl
0.0000 0.2985 0.8718 Tl
0.0000 0.7985 0.1282 Tl
0.5000 0.1872 0.6887 Pm
0.5000 0.6872 0.3113 Pm
0.0000 0.9562 0.4575 Pr
0.0000 0.4562 0.5425 Pr
```

Output
As for the energy: -4.1922 eV/atom. The calculation puts the calculated density at 9.2 g/cm³. The space group is Pmc2_1, No. 26.

=====

Record 9
First-principles (PBE-GGA) data for a relaxed structure of TbPmPrTl, as listed in Alexandria.

Cell and atoms, written as POSCAR:
```
TbPmPrTl
1.0
4.9424 0.0000 0.0000
0.0000 4.9076 0.0000
0.0000 0.0000 5.0203
Pr Tb Tl Pm
1 1 1 1
Direct
0.5000 0.0000 0.5000 Pr
0.5000 0.5000 0.0000 Tb
0.0000 0.0000 0.0000 Tl
0.0000 0.5000 0.5000 Pm
```

Output
As for the energy: -4.3280 eV/atom. The calculation puts the calculated density at 8.9 g/cm³. The space group is Pmmm, No. 47.

=====

Record 10
First-principles (PBE-GGA) data for a relaxed structure of TbPm3Pr6Tm2, as listed in Alexandria.

Cell and atoms, written as POSCAR:
```
TbPm3Pr6Tm2
1.0
6.3406 -0.0018 0.0119
-3.1703 5.4911 0.0119
-1.0776 -1.8659 11.7943
Tb Pm Pr Tm
1 3 6 2
Direct
0.0000 0.0000 0.0000 Tb
0.5000 0.5000 0.5000 Pm
0.1667 0.8333 0.5000 Pm
0.8333 0.1667 0.5000 Pm
0.2511 0.2511 0.7541 Pr
0.7489 0.7489 0.2459 Pr
0.4166 0.0827 0.2461 Pr
0.5834 0.9173 0.7539 Pr
0.9173 0.5834 0.7539 Pr
0.0827 0.4166 0.2461 Pr
0.6666 0.3334 0.0000 Tm
0.3334 0.6666 0.0000 Tm
```

Output
As for the energy: -4.6940 eV/atom. The calculation puts the calculated density at 7.2 g/cm³. The space group is C2/m, No. 12.

=====

Record 11
First-principles (PBE-GGA) data for a relaxed structure of TbPm5PrTm2, as listed in Alexandria.

Cell and atoms, written as POSCAR:
```
TbPm5PrTm2
1.0
-0.5983 -0.7239 -5.6075
9.7611 -3.3356 2.2715
-3.7305 -9.7854 1.6612
Pm Tb Tm Pr
10 2 4 2
Direct
0.7027 0.4055 0.2077 Pm
0.7200 0.4400 0.8132 Pm
0.9833 0.9666 0.5219 Pm
0.0167 0.0334 0.0219 Pm
0.4782 0.9565 0.7402 Pm
0.2973 0.5945 0.7077 Pm
0.2800 0.5600 0.3132 Pm
0.6124 0.2248 0.5246 Pm
0.3876 0.7752 0.0246 Pm
0.5218 0.0435 0.2402 Pm
0.8012 0.6024 0.5120 Tb
0.1988 0.3976 0.0120 Tb
0.8868 0.7737 0.2344 Tm
0.8840 0.7680 0.8198 Tm
0.1132 0.2263 0.7344 Tm
0.1160 0.2320 0.3198 Tm
0.5865 0.1730 0.9503 Pr
0.4135 0.8270 0.4503 Pr
```

Output
As for the energy: -4.5252 eV/atom. The calculation puts the calculated density at 7.4 g/cm³. The space group is Cmc2_1, No. 36.

=====

Record 12
First-principles (PBE-GGA) data for a relaxed structure of TbPm3PrTm, as listed in Alexandria.

Cell and atoms, written as POSCAR:
```
TbPm3PrTm
1.0
-4.4393 1.5183 2.0812
-1.6455 -7.6350 2.0599
5.4333 5.8911 7.2918
Tb Pr Pm Tm
2 2 6 2
Direct
0.7500 0.3752 0.8746 Tb
0.2500 0.6248 0.1254 Tb
0.7500 0.8769 0.7073 Pr
0.2500 0.1231 0.2927 Pr
0.7500 0.3783 0.2082 Pm
0.7500 0.3718 0.5425 Pm
0.2500 0.6282 0.4575 Pm
0.7500 0.8726 0.0424 Pm
0.2500 0.6217 0.7918 Pm
0.2500 0.1274 0.9576 Pm
0.7500 0.8751 0.3753 Tm
0.2500 0.1249 0.6247 Tm
```

Output
As for the energy: -4.6670 eV/atom. The calculation puts the calculated density at 7.5 g/cm³. The space group is P2_1/m, No. 11.

=====

Record 13
First-principles (PBE-GGA) data for a relaxed structure of TbPm2PrTm2, as listed in Alexandria.

Cell and atoms, written as POSCAR:
```
TbPm2PrTm2
1.0
5.6680 0.0000 0.0000
0.0000 9.8581 0.0000
0.0000 0.0000 7.0171
Tm Pr Pm Tb
4 2 4 2
Direct
0.0000 0.6668 0.2502 Tm
0.0000 0.3332 0.7498 Tm
0.5000 0.1668 0.2498 Tm
0.5000 0.8332 0.7502 Tm
0.5000 0.5000 0.5000 Pr
0.0000 0.0000 0.0000 Pr
0.5000 0.1665 0.7477 Pm
0.0000 0.3335 0.2477 Pm
0.0000 0.6665 0.7523 Pm
0.5000 0.8335 0.2523 Pm
0.5000 0.5000 0.0000 Tb
0.0000 0.0000 0.5000 Tb
```

Output
As for the energy: -4.5748 eV/atom. The calculation puts the calculated density at 7.9 g/cm³. The space group is Pnnm, No. 58.

=====

Record 14
First-principles (PBE-GGA) data for a relaxed structure of Tb3PmPrTm, as listed in Alexandria.

Cell and atoms, written as POSCAR:
```
Tb3PmPrTm
1.0
-2.4259 -3.5200 2.7358
0.2816 -2.4693 -7.6355
8.8318 -4.6617 1.8333
Pr Tb Tm Pm
2 6 2 2
Direct
0.0000 0.0000 0.0000 Pr
0.0000 0.0000 0.5000 Pr
0.8314 0.6627 0.2500 Tb
0.6685 0.3369 0.4998 Tb
0.6685 0.3369 0.0002 Tb
0.3315 0.6631 0.9998 Tb
0.3315 0.6631 0.5002 Tb
0.1686 0.3373 0.7500 Tb
0.1682 0.3363 0.2500 Tm
0.8318 0.6637 0.7500 Tm
0.5003 0.0006 0.2500 Pm
0.4997 0.9994 0.7500 Pm
```

Output
As for the energy: -4.6277 eV/atom. The calculation puts the calculated density at 7.9 g/cm³. The space group is Cmcm, No. 63.

=====

Record 15
First-principles (PBE-GGA) data for a relaxed structure of Tb2PmPr2Tm2, as listed in Alexandria.

Cell and atoms, written as POSCAR:
```
Tb2PmPr2Tm2
1.0
-0.6323 -0.6647 3.3835
-2.6957 -10.8997 -4.4613
8.7688 11.3987 3.8782
Pr Tm Tb Pm
2 2 2 1
Direct
0.6078 0.2156 0.8654 Pr
0.3922 0.7844 0.1346 Pr
0.7534 0.5068 0.3128 Tm
0.2466 0.4932 0.6872 Tm
0.0821 0.1641 0.2312 Tb
0.9179 0.8359 0.7688 Tb
0.0000 0.0000 0.5000 Pm
```

Output
As for the energy: -4.5400 eV/atom. The calculation puts the calculated density at 7.7 g/cm³. The space group is C2/m, No. 12.

=====

Record 16
First-principles (PBE-GGA) data for a relaxed structure of TbPmPr2Tm, as listed in Alexandria.

Cell and atoms, written as POSCAR:
```
TbPmPr2Tm
1.0
-2.6517 3.8551 -5.6378
4.1967 -5.0118 -5.4009
-6.7056 -1.0598 2.4292
Tb Tm Pr Pm
2 2 4 2
Direct
0.2500 0.9900 0.9800 Tb
0.7500 0.0100 0.0200 Tb
0.2500 0.2675 0.5350 Tm
0.7500 0.7325 0.4650 Tm
0.5000 0.6922 0.0000 Pr
0.0000 0.3078 0.0000 Pr
0.0000 0.6922 0.0000 Pr
0.5000 0.3078 0.0000 Pr
0.7500 0.2747 0.5493 Pm
0.2500 0.7253 0.4507 Pm
```

Output
As for the energy: -4.2737 eV/atom. The calculation puts the calculated density at 6.9 g/cm³. The space group is Cmcm, No. 63.

=====

Record 17
First-principles (PBE-GGA) data for a relaxed structure of TbPmPr2Tm4, as listed in Alexandria.

Cell and atoms, written as POSCAR:
```
TbPmPr2Tm4
1.0
-1.2144 1.3217 4.7861
2.0405 -4.3355 1.7150
10.8123 0.1790 2.6941
Tm Pr Pm Tb
4 2 1 1
Direct
0.0000 0.2486 0.2514 Tm
0.5000 0.2509 0.7489 Tm
0.5000 0.7491 0.2511 Tm
0.0000 0.7514 0.7486 Tm
0.5000 0.0000 0.5000 Pr
0.0000 0.0000 0.0000 Pr
0.5000 0.5000 0.0000 Pm
0.0000 0.5000 0.5000 Tb
```

Output
As for the energy: -4.5801 eV/atom. The calculation puts the calculated density at 8.1 g/cm³. The space group is Pmmm, No. 47.

=====

Record 18
First-principles (PBE-GGA) data for a relaxed structure of TbPm4PrTm2, as listed in Alexandria.

Cell and atoms, written as POSCAR:
```
TbPm4PrTm2
1.0
9.4072 0.0032 -1.6904
-0.0034 9.4072 -1.6904
-6.0168 -6.0210 8.2929
Tm Pr Pm Tb
4 2 8 2
Direct
0.5000 0.0000 0.0000 Tm
0.0000 0.0000 0.5000 Tm
0.5000 0.5000 0.0000 Tm
0.5000 0.0000 0.5000 Tm
0.0000 0.5000 0.5000 Pr
0.0000 0.5000 0.0000 Pr
0.7525 0.2472 0.4996 Pm
0.7399 0.7474 0.9952 Pm
0.2601 0.2526 0.0048 Pm
0.2475 0.7528 0.5004 Pm
0.2529 0.7475 0.0004 Pm
0.2474 0.2399 0.4952 Pm
0.7526 0.7601 0.5048 Pm
0.7472 0.2525 0.9996 Pm
0.0000 0.0000 0.0000 Tb
0.5000 0.5000 0.5000 Tb
```

Output
As for the energy: -4.2731 eV/atom. The calculation puts the calculated density at 7.5 g/cm³. The space group is C2/c, No. 15.

=====

Record 19
First-principles (PBE-GGA) data for a relaxed structure of Tb4Pm2PrTm, as listed in Alexandria.

Cell and atoms, written as POSCAR:
```
Tb4Pm2PrTm
1.0
9.3970 0.0007 -1.6504
-0.0058 9.3970 -1.6504
-6.0398 -6.0440 8.2269
Tb Pm Tm Pr
8 4 2 2
Direct
0.2444 0.7562 0.0005 Tb
0.2562 0.7444 0.5005 Tb
0.7510 0.7515 0.5061 Tb
0.2489 0.2485 0.4939 Tb
0.2515 0.2511 0.0061 Tb
0.7556 0.2438 0.9995 Tb
0.7485 0.7489 0.9939 Tb
0.7438 0.2556 0.4995 Tb
0.5000 0.0000 0.5000 Pm
0.0000 0.0000 0.5000 Pm
0.5000 0.0000 0.0000 Pm
0.5000 0.5000 0.0000 Pm
0.5000 0.5000 0.5000 Tm
0.0000 0.0000 0.0000 Tm
0.0000 0.5000 0.0000 Pr
0.0000 0.5000 0.5000 Pr
```

Output
As for the energy: -4.2500 eV/atom. The calculation puts the calculated density at 7.6 g/cm³. The space group is C2/c, No. 15.

=====

Record 20
First-principles (PBE-GGA) data for a relaxed structure of TbPm2PrTm4, as listed in Alexandria.

Cell and atoms, written as POSCAR:
```
TbPm2PrTm4
1.0
-6.4340 2.7256 -6.4284
-4.7230 -8.1918 0.8594
5.0975 6.4513 8.4675
Tm Pm Pr Tb
8 4 2 2
Direct
0.2498 0.2496 0.4977 Tm
0.7496 0.7498 0.9977 Tm
0.7502 0.7504 0.5023 Tm
0.2504 0.2502 0.0023 Tm
0.7474 0.2516 0.4994 Tm
0.2484 0.7526 0.0006 Tm
0.7517 0.2474 0.9994 Tm
0.2526 0.7483 0.5006 Tm
0.5000 0.0000 0.0000 Pm
0.0000 0.0000 0.5000 Pm
0.5000 0.0000 0.5000 Pm
0.5000 0.5000 0.0000 Pm
0.0000 0.5000 0.5000 Pr
0.0000 0.5000 0.0000 Pr
0.0000 0.0000 0.0000 Tb
0.5000 0.5000 0.5000 Tb
```

Output
As for the energy: -4.1785 eV/atom. The calculation puts the calculated density at 7.9 g/cm³. The space group is Imma, No. 74.